# 1
A relaxed structure of Tb5NdSmEr2. Source: the Alexandria database, functional PBE.

Energy of formation = 1.42 eV per formula unit
Magnetic moment = 0.00 μB/f.u.
SG = Cmc2_1, No. 36

Cell: 5.625 10.357 10.585 Å, 90.00 90.00 105.76°
Sites, in units of the cell vectors:
1 Tb 0.017 0.034 0.025
2 Er 0.111 0.222 0.735
3 Tb 0.522 0.044 0.237
4 Tb 0.609 0.219 0.524
5 Tb 0.701 0.403 0.208
6 Er 0.114 0.229 0.321
7 Tb 0.299 0.597 0.708
8 Er 0.889 0.778 0.235
9 Nd 0.416 0.832 0.450
10 Tb 0.478 0.956 0.737
11 Tb 0.391 0.781 0.024
12 Tb 0.719 0.438 0.811
13 Tb 0.983 0.966 0.525
14 Er 0.886 0.771 0.821
15 Sm 0.799 0.599 0.512
16 Nd 0.584 0.168 0.950
17 Tb 0.281 0.562 0.311
18 Sm 0.201 0.401 0.012


# 2
A relaxed structure of Tb2Nd2SmEr2. Source: the Alexandria database, functional PBE.

Energy of formation = 0.60 eV per formula unit
Magnetic moment = 0.00 μB/f.u.
SG = C2/m, No. 12

Cell: 3.533 6.133 11.893 Å, 71.48 90.00 106.74°
Sites, in units of the cell vectors:
1 Er 0.775 0.550 0.364
2 Tb 0.551 0.102 0.230
3 Er 0.225 0.450 0.636
4 Nd 0.670 0.339 0.916
5 Tb 0.449 0.898 0.770
6 Sm 0.000 0.000 0.500
7 Nd 0.330 0.661 0.084